{
  "formula": "Pm7Ho3",
  "functional": "GGA-PBE",
  "state": "relaxed",
  "formation_energy_mev_per_atom": 15.0,
  "cell": [[-1.253, 2.503, -4.274], [4.261, -4.392, -3.821], [-9.490, -3.611, 3.721]],
  "species": ["Pm", "Ho", "Pm", "Pm", "Ho", "Pm", "Pm", "Pm", "Ho", "Pm"],
  "fractional_positions": [[0.800, 0.701, 0.600], [0.799, 0.199, 0.598], [0.400, 0.600, 0.800], [0.601, 0.900, 0.202], [0.000, 0.000, 0.000], [0.200, 0.299, 0.400], [0.000, 0.500, 0.000], [0.600, 0.400, 0.200], [0.201, 0.801, 0.402], [0.399, 0.100, 0.798]]
}